# 1
## ZnAs2Os (PBE-GGA)

Data for a geometry-optimized ZnAs2Os structure.

Lattice parameters (Å, degrees): 4.9657 4.9657 4.9657 133.45 133.45 67.94
Closest atoms and distances in Å follow each position.
Positions (direct):
Zn  0.0000  0.0000  0.0000  8 As 2.77-2.84, 4 Os 2.84
As  0.2500  0.7500  0.5000  4 Os 2.77, 4 As 2.84, 4 Zn 2.84
As  0.5000  0.5000  0.0000  4 Zn 2.77, 4 As 2.84, 4 Os 2.84
Os  0.7500  0.2500  0.5000  8 As 2.77-2.84, 4 Zn 2.84

Calculated values
**ΔE_f**: 206.1 kJ/mol of formula units
**Crystal system**: tetragonal
**E**: -4.9166 eV/atom
**ρ**: 10.6 g/cm³



# 2
## Zn2AsOs (PBE-GGA)

Data for a geometry-optimized Zn2AsOs structure.

Lattice parameters (Å, degrees): 4.9955 4.9955 4.2133 98.31 98.31 35.77
Closest atoms and distances in Å follow each position.
Positions (direct):
Zn  0.2381  0.2381  0.2344  4 Zn 2.54-2.69, 1 As 2.67, 3 Os 2.79-2.81
Zn  0.7619  0.7619  0.7656  4 Zn 2.54-2.69, 1 As 2.67, 3 Os 2.79-2.81
As  0.0000  0.0000  0.5000  4 Os 2.61, 2 Zn 2.67
Os  0.5000  0.5000  0.0000  4 As 2.61, 6 Zn 2.79-2.81

Calculated values
**ΔE_f**: 128.6 kJ/mol of formula units
**Crystal system**: monoclinic
**E**: -4.2736 eV/atom
**ρ**: 10.8 g/cm³



# 3
## Zn2AsOs (PBE-GGA)

Data for a geometry-optimized Zn2AsOs structure.

Lattice parameters (Å, degrees): 6.3886 6.3886 6.3886 153.78 141.10 47.52
Closest atoms and distances in Å follow each position.
Positions (direct):
Zn  0.0000  0.0000  0.0000  2 Os 2.66, 4 Zn 2.84-2.90
Zn  0.6603  0.1603  0.5000  4 Os 2.60, 4 Zn 2.84-2.90
As  0.3594  0.3594  0.0000  2 Os 2.45
Os  0.1909  0.6909  0.5000  2 As 2.45, 6 Zn 2.60-2.66

Calculated values
**ΔE_f**: 74.3 kJ/mol of formula units
**Crystal system**: orthorhombic
**E**: -4.4142 eV/atom
**ρ**: 9.1 g/cm³



# 4
## ZnAsOs2 (PBE-GGA)

Data for a geometry-optimized ZnAsOs2 structure.

Lattice parameters (Å, degrees): 2.7439 2.7439 10.0672 90.00 90.00 119.45
Closest atoms and distances in Å follow each position.
Positions (direct):
Zn  0.0000  0.0000  0.0000  2 Os 2.70, 6 Zn 2.74-2.77
As  0.5000  0.5000  0.6788  2 Os 2.65, 6 As 2.74-2.77
Os  0.0000  0.0000  0.4540  8 Os 2.65-2.77, 2 As 2.65
Os  0.5000  0.5000  0.2298  8 Os 2.65-2.77, 2 Zn 2.70

Calculated values
**ΔE_f**: 195.8 kJ/mol of formula units
**E above lowest polymorph**: 27.38 kJ per mole of atoms
**Crystal system**: orthorhombic
**E**: -6.5884 eV/atom
**ρ**: 13.1 g/cm³



# 5
## ZnAs2Os (PBE-GGA)

Data for a geometry-optimized ZnAs2Os structure.

Lattice parameters (Å, degrees): 3.2832 4.3767 4.4621 90.00 90.00 90.00
Closest atoms and distances in Å follow each position.
Positions (direct):
Zn  0.0000  0.0000  0.0000  4 As 2.74, 4 Os 2.77
As  0.0000  0.5000  0.5000  4 Os 2.74, 4 As 2.77
As  0.5000  0.5000  0.0000  4 Zn 2.74, 4 As 2.77
Os  0.5000  0.0000  0.5000  4 As 2.74, 4 Zn 2.77

Calculated values
**ΔE_f**: 217.4 kJ/mol of formula units
**Crystal system**: orthorhombic
**E**: -4.8875 eV/atom
**ρ**: 10.5 g/cm³



# 6
## ZnAs4Os (PBE-GGA)

Data for a geometry-optimized ZnAs4Os structure.

Lattice parameters (Å, degrees): 5.3959 5.3959 5.3959 60.00 60.00 60.00
Closest atoms and distances in Å follow each position.
Positions (direct):
Zn  0.0000  0.0000  0.0000  12 As 3.16, 4 Os 3.30
As  0.1240  0.6253  0.6253  6 As 2.69-2.70
As  0.6253  0.1240  0.6253  6 As 2.69-2.70
As  0.6253  0.6253  0.1240  6 As 2.69-2.70
As  0.6253  0.6253  0.6253  6 As 2.69-2.70
Os  0.2500  0.2500  0.2500  12 As 3.16, 4 Zn 3.30

Calculated values
**ΔE_f**: 583.5 kJ/mol of formula units
**Crystal system**: cubic
**E**: -4.1758 eV/atom
**ρ**: 8.3 g/cm³



# 7
## ZnAs2Os (PBE-GGA)

Data for a geometry-optimized ZnAs2Os structure.

Lattice parameters (Å, degrees): 2.8596 2.8596 9.8535 90.00 90.00 118.06
Closest atoms and distances in Å follow each position.
Positions (direct):
Zn  0.0000  0.0000  0.0000  2 Os 2.64, 2 As 2.71, 6 Zn 2.86-2.94
As  0.0000  0.0000  0.4266  2 Os 2.49
As  0.5000  0.5000  0.7692  2 Zn 2.71, 6 As 2.86-2.94
Os  0.5000  0.5000  0.2221  2 As 2.49, 2 Zn 2.64

Calculated values
**ΔE_f**: 137.8 kJ/mol of formula units
**Crystal system**: orthorhombic
**E**: -5.0937 eV/atom
**ρ**: 9.5 g/cm³



# 8
## ZnAsOs2 (PBE-GGA)

Data for a geometry-optimized ZnAsOs2 structure.

Lattice parameters (Å, degrees): 8.6245 8.6245 8.6245 19.21 19.21 19.21
Closest atoms and distances in Å follow each position.
Positions (direct):
Zn  0.0000  0.0000  0.0000  3 Os 2.68, 3 As 2.84, 6 Zn 2.88
As  0.2426  0.2426  0.2426  3 Os 2.58, 3 Zn 2.84, 6 As 2.88
Os  0.4984  0.4984  0.4984  3 As 2.58, 9 Os 2.67-2.88
Os  0.7495  0.7495  0.7495  9 Os 2.67-2.88, 3 Zn 2.68

Calculated values
**ΔE_f**: 103.3 kJ/mol of formula units
**E above lowest polymorph**: 4.25 kJ per mole of atoms
**Crystal system**: trigonal
**E**: -6.8282 eV/atom
**ρ**: 14.3 g/cm³